Compound: Na3In2Au
Source: Alexandria
Functional: PBEsol
Structure: relaxed

a = 9.4611 Å, b = 9.4611 Å, c = 9.4611 Å
α = 60.00°, β = 60.00°, γ = 60.00°
Atoms (fractional coordinates):
Na 0.0773 0.0773 0.6727
Na 0.0773 0.6727 0.0773
Na 0.0773 0.6727 0.6727
Na 0.3273 0.3273 0.9227
Na 0.3273 0.9227 0.3273
Na 0.3273 0.9227 0.9227
Na 0.6727 0.0773 0.0773
Na 0.6727 0.0773 0.6727
Na 0.6727 0.6727 0.0773
Na 0.9227 0.3273 0.3273
Na 0.9227 0.3273 0.9227
Na 0.9227 0.9227 0.3273
In 0.2914 0.2914 0.2914
In 0.2914 0.2914 0.6256
In 0.2914 0.6256 0.2914
In 0.3744 0.7086 0.7086
In 0.6256 0.2914 0.2914
In 0.7086 0.3744 0.7086
In 0.7086 0.7086 0.3744
In 0.7086 0.7086 0.7086
Au 0.0000 0.5000 0.5000
Au 0.5000 0.0000 0.5000
Au 0.5000 0.5000 0.0000
Au 0.5000 0.5000 0.5000

Values from the calculation:
As for the total energy: -2.587 eV/atom. The value obtained for the energy relative to the elements is -0.24 eV/atom.